(1)
## KYb2F7 (PBE)

Data for a relaxed KYb2F7 crystal.

Cell: 4.3174 6.4881 6.4881 Å, 113.44 90.00 90.00°
Site moments in Bohr magnetons follow the coordinates.
Fractional positions:
F  0.5000  0.0743  0.3366  0.26
F  0.5000  0.3366  0.0743  0.28
Yb  0.5000  0.7069  0.2931  0.01
Yb  0.5000  0.2931  0.7069  0.01
F  0.5000  0.6634  0.9257  0.28
F  0.5000  0.5000  0.5000  0.43
K  0.0000  0.0000  0.0000  0.00
F  0.0000  0.7420  0.2580  0.14
F  0.0000  0.2580  0.7420  0.14
F  0.5000  0.9257  0.6634  0.26

Properties
**Raw formation energy**: -3.00 eV/atom
**Calculated total energy**: -0.174 Ha/atom
**DOS(E_F)**: 1.5639 states/eV per atom

---

(2)
## K2Zn3F10 (PBE)

Data for a relaxed K2Zn3F10 crystal.

Cell: 6.1248 8.0494 9.8718 Å, 111.24 108.07 90.00°
Site moments in Bohr magnetons follow the coordinates.
Fractional positions:
Zn  0.0766  0.4680  0.1531  0.18
F  0.6472  0.9742  0.7813  0.12
K  0.7139  0.3191  0.4278  0.00
F  0.0839  0.5205  0.7085  0.20
F  0.8651  0.2419  0.7301  0.13
Zn  0.7471  0.0000  0.0000  0.12
K  0.6145  0.7247  0.2290  0.00
F  0.3528  0.0258  0.2187  0.12
F  0.9771  0.8158  0.9542  0.06
F  0.8659  0.0258  0.2187  0.12
K  0.2861  0.6809  0.5722  0.00
F  0.6246  0.5205  0.7085  0.20
Zn  0.9234  0.5320  0.8469  0.18
F  0.2059  0.5000  0.0000  0.14
F  0.0000  0.0000  0.5000  0.14
Zn  0.8198  0.9851  0.6396  0.20
F  0.1341  0.9742  0.7813  0.12
F  0.0229  0.1842  0.0458  0.06
F  0.1349  0.7581  0.2699  0.13
K  0.3855  0.2753  0.7710  0.00
F  0.5000  0.0000  0.5000  0.14
F  0.7654  0.7338  0.5308  0.22
Zn  0.2529  0.0000  0.0000  0.12
F  0.4809  0.8228  0.9618  0.11
F  0.5191  0.1772  0.0382  0.11
Zn  0.1802  0.0149  0.3604  0.20
F  0.3754  0.4795  0.2915  0.20
F  0.9161  0.4795  0.2915  0.20
F  0.7941  0.5000  0.0000  0.14
F  0.2346  0.2662  0.4692  0.22

Properties
**Raw formation energy**: -2.17 eV/atom
**Calculated total energy**: -0.140 Ha/atom
**DOS(E_F)**: 0.6308 states/eV per atom

---

(3)
## KZnF2 (PBE)

Data for a relaxed KZnF2 crystal.

Cell: 7.2909 7.2909 7.2909 Å, 29.43 29.43 29.43°
Fractional positions:
F  0.9063  0.9063  0.9063
Zn  0.0000  0.0000  0.0000
K  0.5000  0.5000  0.5000
F  0.0937  0.0937  0.0937

Properties
**Raw formation energy**: -1.94 eV/atom
**Energy relative to the lowest polymorph listed for this composition**: 0.00 kJ/mol of atoms
**Calculated total energy**: -0.127 Ha/atom
**DOS(E_F)**: 0.1781 states/eV per atom

---

(4)
## KZnF3 (PBE)

Data for a relaxed KZnF3 crystal.

Cell: 5.0680 5.0680 7.1756 Å, 69.32 69.32 90.00°
Fractional positions:
F  0.2978  0.2978  0.4044
F  0.7022  0.7022  0.5956
F  0.6272  0.8932  0.2137
Zn  0.0000  0.0000  0.0000
F  0.1591  0.8932  0.2137
K  0.6297  0.1297  0.7406
K  0.8703  0.3703  0.2594
F  0.1068  0.3728  0.7863
Zn  0.2500  0.7500  0.5000
F  0.1068  0.8409  0.7863

Properties
**Raw formation energy**: -2.17 eV/atom
**Calculated total energy**: -0.138 Ha/atom
**DOS(E_F)**: 0.0000 states/eV per atom

---

(5)
## K6Zn3F14 (PBE)

Data for a relaxed K6Zn3F14 crystal.

Cell: 5.6754 9.3697 9.3697 Å, 120.00 90.00 90.00°
Site moments in Bohr magnetons follow the coordinates.
Fractional positions:
F  0.0133  0.3333  0.6667  0.05
Zn  0.8172  0.0000  0.0000  0.08
F  0.9635  0.1543  0.9485  0.07
F  0.6462  0.7335  0.2056  0.18
F  0.2539  0.8630  0.3974  0.18
K  0.2665  0.9343  0.7206  0.00
F  0.4833  0.0000  0.0000  0.04
F  0.4897  0.1940  0.7379  0.09
K  0.7916  0.0318  0.4574  0.00
F  0.4897  0.2621  0.4561  0.09
F  0.6462  0.7944  0.5279  0.18
Zn  0.3481  0.3333  0.6667  0.10
F  0.4897  0.5439  0.8060  0.09
K  0.2665  0.7864  0.0657  0.00
F  0.6462  0.4721  0.2665  0.18
Zn  0.4472  0.6667  0.3333  0.28
F  0.2539  0.5344  0.1370  0.18
K  0.7916  0.5426  0.5744  0.00
K  0.7916  0.4256  0.9682  0.00
F  0.2539  0.6026  0.4656  0.18
F  0.9635  0.0515  0.2057  0.07
K  0.2665  0.2794  0.2136  0.00
F  0.9635  0.7943  0.8457  0.07

Properties
**Raw formation energy**: -2.38 eV/atom
**Calculated total energy**: -0.146 Ha/atom
**DOS(E_F)**: 0.9285 states/eV per atom

---

(6)
## KZnF3 (PBE)

Data for a relaxed KZnF3 crystal.

Cell: 7.6478 7.6478 7.6478 Å, 60.00 60.00 60.00°
Fractional positions:
K  0.1250  0.6250  0.1250
Zn  0.6250  0.1250  0.6250
Zn  0.1250  0.6250  0.6250
F  0.2992  0.7008  0.7008
K  0.1250  0.1250  0.6250
F  0.2992  0.2992  0.7008
K  0.1250  0.1250  0.1250
F  0.5492  0.9508  0.9508
F  0.9508  0.5492  0.9508
F  0.9508  0.9508  0.5492
Zn  0.6250  0.6250  0.1250
F  0.9508  0.5492  0.5492
F  0.2992  0.7008  0.2992
Zn  0.6250  0.6250  0.6250
F  0.5492  0.9508  0.5492
F  0.7008  0.7008  0.2992
F  0.7008  0.2992  0.2992
F  0.5492  0.5492  0.9508
K  0.6250  0.1250  0.1250
F  0.7008  0.2992  0.7008

Properties
**Raw formation energy**: -2.47 eV/atom
**Calculated total energy**: -0.150 Ha/atom
**DOS(E_F)**: 0.0000 states/eV per atom